## P
! Sm3SeS2 | the Alexandria database | PBE | optimized geometry; values from VASP
! V, A^3/atom: 23.75
! SG: Immm (71)
! Crystal system: orthorhombic
! DOS at the Fermi energy, states/eV/atom: 0.435
&SYSTEM
  ibrav = 0, nat = 12, ntyp = 3
/
ATOMIC_SPECIES
Sm 150.36 Sm.upf
Se 78.96 Se.upf
S 32.06 S.upf
ATOMIC_POSITIONS crystal
Sm 0.000 0.000 0.000
Sm 0.000 0.000 0.323
Sm 0.000 0.000 0.677
Sm 0.500 0.500 0.177
Sm 0.500 0.500 0.500
Sm 0.500 0.500 0.823
Se 0.000 0.500 0.000
Se 0.500 0.000 0.500
S 0.000 0.500 0.337
S 0.000 0.500 0.663
S 0.500 0.000 0.163
S 0.500 0.000 0.837
CELL_PARAMETERS angstrom
4.066 0.000 0.000
0.000 5.747 0.000
0.000 0.000 12.197

***

## Q
! Sm3SeS2 | the Alexandria database | PBE | optimized geometry; values from VASP
! V, A^3/atom: 25.55
! SG: Cmcm (63)
! Crystal system: orthorhombic
! DOS at the Fermi energy, states/eV/atom: 0.643
&SYSTEM
  ibrav = 0, nat = 12, ntyp = 3
/
ATOMIC_SPECIES
Sm 150.36 Sm.upf
Se 78.96 Se.upf
S 32.06 S.upf
ATOMIC_POSITIONS crystal
Sm 0.097 0.903 0.750
Sm 0.356 0.644 0.556
Sm 0.356 0.644 0.944
Sm 0.644 0.356 0.056
Sm 0.644 0.356 0.444
Sm 0.903 0.097 0.250
Se 0.246 0.754 0.250
Se 0.754 0.246 0.750
S 0.000 0.000 0.000
S 0.000 0.000 0.500
S 0.475 0.525 0.750
S 0.525 0.475 0.250
CELL_PARAMETERS angstrom
2.069 -6.847 0.000
2.069 6.847 0.000
0.000 0.000 10.821

***

Least stable: Q

***

## P
! Sm3Se3S | the Alexandria database | PBE | optimized geometry; values from VASP
! V, A^3/atom: 28.72
! SG: C2/m (12)
! Crystal system: monoclinic
! DOS at the Fermi energy, states/eV/atom: 0.519
&SYSTEM
  ibrav = 0, nat = 14, ntyp = 3
/
ATOMIC_SPECIES
Sm 150.36 Sm.upf
Se 78.96 Se.upf
S 32.06 S.upf
ATOMIC_POSITIONS crystal
Sm 0.014 0.014 0.228
Sm 0.236 0.555 0.747
Sm 0.445 0.764 0.253
Sm 0.555 0.236 0.747
Sm 0.764 0.445 0.253
Sm 0.986 0.986 0.772
Se 0.180 0.820 0.000
Se 0.228 0.772 0.500
Se 0.333 0.333 0.086
Se 0.667 0.667 0.914
Se 0.772 0.228 0.500
Se 0.820 0.180 0.000
S 0.224 0.224 0.573
S 0.776 0.776 0.427
CELL_PARAMETERS angstrom
4.021 -6.628 0.000
4.021 6.628 0.000
-2.641 0.000 7.545

***

## Q
! Sm3Se3S | the Alexandria database | PBE | optimized geometry; values from VASP
! V, A^3/atom: 25.38
! SG: R3m (160)
! Crystal system: trigonal
! DOS at the Fermi energy, states/eV/atom: 0.508
&SYSTEM
  ibrav = 0, nat = 7, ntyp = 3
/
ATOMIC_SPECIES
Sm 150.36 Sm.upf
Se 78.96 Se.upf
S 32.06 S.upf
ATOMIC_POSITIONS crystal
Sm 0.171 0.171 0.659
Sm 0.171 0.659 0.171
Sm 0.659 0.171 0.171
Se 0.600 0.600 0.997
Se 0.600 0.997 0.600
Se 0.997 0.600 0.600
S 0.154 0.154 0.154
CELL_PARAMETERS angstrom
4.488 2.591 2.547
-4.488 2.591 2.547
0.000 -5.182 2.547

***

Least stable: P

***

## P
! SnSe2S | the Alexandria database | PBE | optimized geometry; values from VASP
! V, A^3/atom: 24.89
! SG: R-3m (166)
! Crystal system: trigonal
! DOS at the Fermi energy, states/eV/atom: 0.588
&SYSTEM
  ibrav = 0, nat = 12, ntyp = 3
/
ATOMIC_SPECIES
Sn 118.71 Sn.upf
Se 78.96 Se.upf
S 32.06 S.upf
ATOMIC_POSITIONS crystal
Sn 0.000 0.000 0.000
Sn 0.333 0.667 0.667
Sn 0.667 0.333 0.333
Se 0.000 0.000 0.107
Se 0.000 0.000 0.893
Se 0.333 0.667 0.559
Se 0.333 0.667 0.774
Se 0.667 0.333 0.226
Se 0.667 0.333 0.441
S 0.000 0.000 0.500
S 0.333 0.667 0.167
S 0.667 0.333 0.833
CELL_PARAMETERS angstrom
3.568 0.000 0.000
-1.784 3.090 0.000
0.000 0.000 27.095

***

## Q
! SnSe2S | the Alexandria database | PBE | optimized geometry; values from VASP
! V, A^3/atom: 28.86
! SG: R-3m (166)
! Crystal system: trigonal
! DOS at the Fermi energy, states/eV/atom: 0.872
&SYSTEM
  ibrav = 0, nat = 12, ntyp = 3
/
ATOMIC_SPECIES
Sn 118.71 Sn.upf
Se 78.96 Se.upf
S 32.06 S.upf
ATOMIC_POSITIONS crystal
Sn 0.000 0.000 0.000
Sn 0.333 0.667 0.667
Sn 0.667 0.333 0.333
Se 0.000 0.000 0.401
Se 0.000 0.000 0.599
Se 0.333 0.667 0.068
Se 0.333 0.667 0.266
Se 0.667 0.333 0.734
Se 0.667 0.333 0.932
S 0.000 0.000 0.500
S 0.333 0.667 0.167
S 0.667 0.333 0.833
CELL_PARAMETERS angstrom
4.099 0.000 0.000
-2.050 3.550 0.000
0.000 0.000 23.794

***

Least stable: P

***

## P
! SnSeS2 | the Alexandria database | PBE | optimized geometry; values from VASP
! V, A^3/atom: 26.88
! SG: P1 (1)
! Crystal system: triclinic
! DOS at the Fermi energy, states/eV/atom: 0.179
&SYSTEM
  ibrav = 0, nat = 4, ntyp = 3
/
ATOMIC_SPECIES
Sn 118.71 Sn.upf
Se 78.96 Se.upf
S 32.06 S.upf
ATOMIC_POSITIONS crystal
Sn 0.000 0.000 0.000
Se 0.385 0.368 0.852
S 0.366 0.855 0.356
S 0.411 0.452 0.416
CELL_PARAMETERS angstrom
4.497 0.000 0.000
2.013 4.887 0.000
2.115 -0.404 4.891

***

## Q
! SnSeS2 | the Alexandria database | PBE | optimized geometry; values from VASP
! V, A^3/atom: 28.47
! SG: P1 (1)
! Crystal system: triclinic
&SYSTEM
  ibrav = 0, nat = 4, ntyp = 3
/
ATOMIC_SPECIES
Sn 118.71 Sn.upf
Se 78.96 Se.upf
S 32.06 S.upf
ATOMIC_POSITIONS crystal
Sn 0.000 0.000 0.000
Se 0.081 0.402 0.344
S 0.405 0.016 0.722
S 0.727 0.631 0.116
CELL_PARAMETERS angstrom
3.836 0.000 0.000
-0.037 5.408 0.000
-1.234 -0.957 5.491

***

Least stable: P

***

## P
! SnSeS2 | the Alexandria database | PBE | optimized geometry; values from VASP
! V, A^3/atom: 31.28
! SG: P1 (1)
! Crystal system: triclinic
&SYSTEM
  ibrav = 0, nat = 4, ntyp = 3
/
ATOMIC_SPECIES
Sn 118.71 Sn.upf
Se 78.96 Se.upf
S 32.06 S.upf
ATOMIC_POSITIONS crystal
Sn 0.000 0.000 0.000
Se 0.435 0.021 0.733
S 0.046 0.394 0.301
S 0.734 0.633 0.147
CELL_PARAMETERS angstrom
3.951 0.000 0.000
-0.117 5.218 0.000
-0.924 -1.026 6.069

***

## Q
! SnSeS2 | the Alexandria database | PBE | optimized geometry; values from VASP
! V, A^3/atom: 26.35
! SG: Cm (8)
! Crystal system: monoclinic
! DOS at the Fermi energy, states/eV/atom: 0.001
&SYSTEM
  ibrav = 0, nat = 8, ntyp = 3
/
ATOMIC_SPECIES
Sn 118.71 Sn.upf
Se 78.96 Se.upf
S 32.06 S.upf
ATOMIC_POSITIONS crystal
Sn 0.000 0.000 0.000
Sn 0.500 0.500 0.000
Se 0.145 0.500 0.133
Se 0.645 0.000 0.133
S 0.168 0.248 0.496
S 0.168 0.752 0.496
S 0.668 0.252 0.496
S 0.668 0.748 0.496
CELL_PARAMETERS angstrom
7.838 0.000 0.000
0.000 7.102 0.000
-1.378 0.000 3.787

***

Least stable: Q

***

## P
! SnSeS2 | the Alexandria database | PBE | optimized geometry; values from VASP
! V, A^3/atom: 26.07
! SG: Cm (8)
! Crystal system: monoclinic
! DOS at the Fermi energy, states/eV/atom: 0.185
&SYSTEM
  ibrav = 0, nat = 8, ntyp = 3
/
ATOMIC_SPECIES
Sn 118.71 Sn.upf
Se 78.96 Se.upf
S 32.06 S.upf
ATOMIC_POSITIONS crystal
Sn 0.000 0.000 0.000
Sn 0.500 0.500 0.000
Se 0.060 0.500 0.350
Se 0.560 0.000 0.350
S 0.391 0.250 0.366
S 0.391 0.750 0.366
S 0.891 0.250 0.366
S 0.891 0.750 0.366
CELL_PARAMETERS angstrom
7.823 0.000 0.000
0.000 7.240 0.000
-2.261 0.000 3.682

***

## Q
! SnSeS2 | the Alexandria database | PBE | optimized geometry; values from VASP
! V, A^3/atom: 27.68
! SG: Pm (6)
! Crystal system: monoclinic
! DOS at the Fermi energy, states/eV/atom: 0.403
&SYSTEM
  ibrav = 0, nat = 4, ntyp = 3
/
ATOMIC_SPECIES
Sn 118.71 Sn.upf
Se 78.96 Se.upf
S 32.06 S.upf
ATOMIC_POSITIONS crystal
Sn 0.000 0.000 0.000
Se 0.933 0.500 0.964
S 0.372 0.500 0.693
S 0.656 0.000 0.344
CELL_PARAMETERS angstrom
3.946 0.000 0.000
0.000 5.977 0.000
-1.788 0.000 4.695

***

Least stable: Q